1.
The following is a PBE calculation of a relaxed structure of Ac8TlPt4, from Alexandria.

Lattice parameters (Å, degrees): 19.6088 4.4577 14.1333 90.00 131.59 90.00
Space group C2/m (No. 12)
Symmetry-distinct sites (fractional):
1 Ac 0.0381 0.0000 0.1895 (multiplicity 4)
2 Ac 0.1071 0.5000 0.7634 (multiplicity 4)
3 Ac 0.1778 0.5000 0.5433 (multiplicity 4)
4 Ac 0.1789 0.5000 0.1079 (multiplicity 4)
5 Tl 0.0000 0.0000 0.5000 (multiplicity 2)
6 Pt 0.1770 0.5000 0.3259 (multiplicity 4)
7 Pt 0.1784 0.0000 0.9587 (multiplicity 4)

Values from the calculation:
- E_tot (eV per atom) = -5.344
- magnetization (μB/f.u.) = 0.000
- ΔH_f (0 K) (meV/atom) = -775


2.
The following is a PBE calculation of a relaxed structure of AcTlPt, from Alexandria.

Lattice parameters (Å, degrees): 4.4225 4.4225 8.6528 90.00 90.00 90.00
Space group P4/nmm (No. 129, origin choice 2)
Symmetry-distinct sites (fractional):
1 Ac 0.2500 0.2500 0.1545 (multiplicity 2)
2 Tl 0.2500 0.7500 0.5000 (multiplicity 2)
3 Pt 0.2500 0.2500 0.7924 (multiplicity 2)

Values from the calculation:
- E_tot (eV per atom) = -4.907
- magnetization (μB/f.u.) = 0.000
- ΔH_f (0 K) (meV/atom) = -735


3.
The following is a PBE calculation of a relaxed structure of Ac3TlPt, from Alexandria.

Lattice parameters (Å, degrees): 13.3344 6.0691 9.9011 90.00 112.97 90.00
Space group C2/m (No. 12)
Symmetry-distinct sites (fractional):
1 Ac 0.1092 0.0000 0.2269 (multiplicity 4)
2 Ac 0.1248 0.5000 0.9036 (multiplicity 4)
3 Ac 0.1568 0.0000 0.6353 (multiplicity 4)
4 Tl 0.1044 0.5000 0.4492 (multiplicity 4)
5 Pt 0.1321 0.0000 0.9299 (multiplicity 4)

Values from the calculation:
- E_tot (eV per atom) = -4.759
- magnetization (μB/f.u.) = 0.000
- ΔH_f (0 K) (meV/atom) = -613


4.
The following is a PBE calculation of a relaxed structure of Ac6TlPt2, from Alexandria.

Lattice parameters (Å, degrees): 10.2089 10.9231 11.5074 90.00 90.00 90.00
Space group Immm (No. 71)
Symmetry-distinct sites (fractional):
1 Ac 0.0000 0.1965 0.2316 (multiplicity 8)
2 Ac 0.1880 0.5000 0.1684 (multiplicity 8)
3 Ac 0.2049 0.3230 0.5000 (multiplicity 8)
4 Tl 0.0000 0.0000 0.0000 (multiplicity 2)
5 Tl 0.0000 0.0000 0.5000 (multiplicity 2)
6 Pt 0.0000 0.3407 0.0000 (multiplicity 4)
7 Pt 0.0000 0.5000 0.3689 (multiplicity 4)

Values from the calculation:
- E_tot (eV per atom) = -4.950
- magnetization (μB/f.u.) = 0.000
- ΔH_f (0 K) (meV/atom) = -606


5.
The following is a PBE calculation of a relaxed structure of AcTlPt, from Alexandria.

Lattice parameters (Å, degrees): 5.0895 5.0895 26.4022 90.00 90.00 120.00
Space group R-3m (No. 166, hexagonal axes)
Symmetry-distinct sites (fractional):
1 Ac 0.0000 0.0000 0.0960 (multiplicity 6)
2 Tl 0.0000 0.0000 0.3213 (multiplicity 6)
3 Pt 0.0000 0.0000 0.2111 (multiplicity 6)

Values from the calculation:
- E_tot (eV per atom) = -4.709
- magnetization (μB/f.u.) = 0.000
- ΔH_f (0 K) (meV/atom) = -537


6.
The following is a PBE calculation of a relaxed structure of Ac5Tl2Pt, from Alexandria.

Lattice parameters (Å, degrees): 9.0509 13.2060 4.9838 90.00 90.00 90.00
Space group Pbam (No. 55)
Symmetry-distinct sites (fractional):
1 Ac 0.0000 0.0000 0.0000 (multiplicity 2)
2 Ac 0.1440 0.2961 0.0000 (multiplicity 4)
3 Ac 0.1794 0.5717 0.5000 (multiplicity 4)
4 Tl 0.0735 0.8298 0.5000 (multiplicity 4)
5 Pt 0.0000 0.5000 0.0000 (multiplicity 2)

Values from the calculation:
- E_tot (eV per atom) = -4.406
- magnetization (μB/f.u.) = 0.000
- ΔH_f (0 K) (meV/atom) = -492


7.
The following is a PBE calculation of a relaxed structure of AcTlPt, from Alexandria.

Lattice parameters (Å, degrees): 7.1308 7.1308 7.1308 90.00 90.00 90.00
Space group F-43m (No. 216)
Symmetry-distinct sites (fractional):
1 Ac 0.0000 0.0000 0.0000 (multiplicity 4)
2 Tl 0.0000 0.0000 0.5000 (multiplicity 4)
3 Pt 0.2500 0.2500 0.7500 (multiplicity 4)

Values from the calculation:
- E_tot (eV per atom) = -4.861
- magnetization (μB/f.u.) = 0.000
- ΔH_f (0 K) (meV/atom) = -689


8.
The following is a PBE calculation of a relaxed structure of AcTlPt, from Alexandria.

Lattice parameters (Å, degrees): 8.0598 4.4172 13.6057 90.00 90.42 90.00
Space group P2_1/m (No. 11)
Symmetry-distinct sites (fractional):
1 Ac 0.0499 0.2500 0.3755 (multiplicity 2)
2 Ac 0.1651 0.2500 0.0798 (multiplicity 2)
3 Ac 0.4385 0.7500 0.7121 (multiplicity 2)
4 Tl 0.1101 0.2500 0.7990 (multiplicity 2)
5 Tl 0.3620 0.7500 0.4595 (multiplicity 2)
6 Tl 0.4979 0.2500 0.9122 (multiplicity 2)
7 Pt 0.2324 0.2500 0.5891 (multiplicity 2)
8 Pt 0.2434 0.7500 0.9155 (multiplicity 2)
9 Pt 0.2567 0.7500 0.2491 (multiplicity 2)

Values from the calculation:
- E_tot (eV per atom) = -4.938
- magnetization (μB/f.u.) = 0.000
- ΔH_f (0 K) (meV/atom) = -766


9.
The following is a PBE calculation of a relaxed structure of AcTlZnPt, from Alexandria.

Lattice parameters (Å, degrees): 7.3162 7.3162 7.3162 90.00 90.00 90.00
Space group F-43m (No. 216)
Symmetry-distinct sites (fractional):
1 Ac 0.0000 0.0000 0.0000 (multiplicity 4)
2 Tl 0.0000 0.0000 0.5000 (multiplicity 4)
3 Zn 0.2500 0.2500 0.7500 (multiplicity 4)
4 Pt 0.2500 0.2500 0.2500 (multiplicity 4)

Values from the calculation:
- E_tot (eV per atom) = -3.874
- magnetization (μB/f.u.) = 0.000
- ΔH_f (0 K) (meV/atom) = -427


10.
The following is a PBE calculation of a relaxed structure of Ac2TlZnPt, from Alexandria.

Lattice parameters (Å, degrees): 7.7592 4.7927 8.2325 90.00 109.00 90.00
Space group P2_1/m (No. 11)
Symmetry-distinct sites (fractional):
1 Ac 0.1403 0.2500 0.3398 (multiplicity 2)
2 Ac 0.2889 0.2500 0.9475 (multiplicity 2)
3 Tl 0.3372 0.7500 0.6511 (multiplicity 2)
4 Zn 0.4399 0.7500 0.3176 (multiplicity 2)
5 Pt 0.1168 0.7500 0.0817 (multiplicity 2)

Values from the calculation:
- E_tot (eV per atom) = -4.208
- magnetization (μB/f.u.) = 0.000
- ΔH_f (0 K) (meV/atom) = -629


11.
The following is a PBE calculation of a relaxed structure of Ac2TlZn3Pt4, from Alexandria.

Lattice parameters (Å, degrees): 4.4616 4.4616 10.9033 90.00 90.00 90.00
Space group P-4m2 (No. 115)
Symmetry-distinct sites (fractional):
1 Ac 0.0000 0.5000 0.2309 (multiplicity 2)
2 Tl 0.0000 0.0000 0.5000 (multiplicity 1)
3 Zn 0.0000 0.5000 0.8828 (multiplicity 2)
4 Zn 0.5000 0.5000 0.5000 (multiplicity 1)
5 Pt 0.0000 0.0000 0.0000 (multiplicity 1)
6 Pt 0.0000 0.5000 0.6516 (multiplicity 2)
7 Pt 0.5000 0.5000 0.0000 (multiplicity 1)

Values from the calculation:
- E_tot (eV per atom) = -4.581
- magnetization (μB/f.u.) = 0.000
- ΔH_f (0 K) (meV/atom) = -724


12.
The following is a PBE calculation of a relaxed structure of AcTm2Pt9, from Alexandria.

Lattice parameters (Å, degrees): 5.4705 5.4705 26.4531 90.00 90.00 120.00
Space group R-3m (No. 166, hexagonal axes)
Symmetry-distinct sites (fractional):
1 Ac 0.0000 0.0000 0.0000 (multiplicity 3)
2 Tm 0.0000 0.0000 0.1416 (multiplicity 6)
3 Pt 0.0000 0.0000 0.3328 (multiplicity 6)
4 Pt 0.0000 0.0000 0.5000 (multiplicity 3)
5 Pt 0.0056 0.5028 0.9131 (multiplicity 18)

Values from the calculation:
- E_tot (eV per atom) = -6.593
- magnetization (μB/f.u.) = 0.000
- ΔH_f (0 K) (meV/atom) = -975


Q: Look up the magnetization of the tenth one.
A: 0.000 μB/f.u.